Here is an optimized crystal structure of CS14 from the Alexandria database. Energies are from PBE. Values from VASP.

## Properties
Its size of the total moment is 0.00 μB per formula unit. Its space group is R-3m. As for the density of states at the Fermi level: 0.000 states/eV per atom. For the electronic total energy, the calculation gives -4.404 eV/atom. The formation energy (no corrections) comes out at 63 meV/atom.

Geometry as Quantum ESPRESSO input:
```
&SYSTEM
  ibrav = 0, nat = 15, ntyp = 2
/
ATOMIC_SPECIES
S 32.06 S.upf
C 12.01 C.upf
ATOMIC_POSITIONS crystal
S 0.213 0.843 0.213
S 0.787 0.787 0.157
S 0.711 0.289 0.000
C 0.500 0.500 0.500
S 0.213 0.213 0.843
S 0.711 0.000 0.289
S 0.624 0.624 0.624
S 0.843 0.213 0.213
S 0.289 0.000 0.711
S 0.000 0.711 0.289
S 0.289 0.711 0.000
S 0.376 0.376 0.376
S 0.787 0.157 0.787
S 0.157 0.787 0.787
S 0.000 0.289 0.711
CELL_PARAMETERS angstrom
-1.000 3.278 7.141
6.288 -4.307 2.157
4.300 6.008 -2.856
```

***

Here is an optimized crystal structure of NbRhSN2 from the Alexandria database. Energies are from PBE. Values from VASP.

## Properties
Its size of the total moment is 1.00 μB per formula unit. Its space group is P4/mmm. The energy relative to the lowest polymorph listed for this composition is 0.000 eV/atom. As for the density of states at the Fermi level: 1.311 states/eV per atom. For the electronic total energy, the calculation gives -6.953 eV/atom. The formation energy (no corrections) comes out at 687 meV/atom.

Geometry as Quantum ESPRESSO input:
```
&SYSTEM
  ibrav = 0, nat = 5, ntyp = 4
/
ATOMIC_SPECIES
N 14.01 N.upf
S 32.06 S.upf
Nb 92.91 Nb.upf
Rh 102.91 Rh.upf
ATOMIC_POSITIONS crystal
N 0.500 0.000 0.000
N 0.000 0.500 0.000
S 0.000 0.000 0.500
Nb 0.000 0.000 0.000
Rh 0.500 0.500 0.500
CELL_PARAMETERS angstrom
-1.889 -3.176 -1.384
-0.210 -1.469 3.657
-4.490 2.368 0.694
```

***

Here is an optimized crystal structure of USi2Tc2 from the Alexandria database. Energies are from PBE. Values from VASP.

## Properties
Its size of the total moment is 0.92 μB per formula unit. Its space group is P-3m1. As for the density of states at the Fermi level: 1.109 states/eV per atom. For the electronic total energy, the calculation gives -8.730 eV/atom. The formation energy (no corrections) comes out at -157 meV/atom.

Geometry as Quantum ESPRESSO input:
```
&SYSTEM
  ibrav = 0, nat = 5, ntyp = 3
/
ATOMIC_SPECIES
Si 28.09 Si.upf
Tc 98.00 Tc.upf
U 238.03 U.upf
ATOMIC_POSITIONS crystal
Si 0.667 0.333 0.731
Si 0.333 0.667 0.269
Tc 0.333 0.667 0.682
Tc 0.667 0.333 0.318
U 0.000 0.000 0.000
CELL_PARAMETERS angstrom
-2.430 0.171 -3.404
1.733 -3.632 1.154
-4.733 -1.203 3.318
```

***

Here is an optimized crystal structure of YFeCu3 from the Alexandria database. Energies are from PBE. Values from VASP.

## Properties
Its size of the total moment is 2.43 μB per formula unit. Its space group is Pm-3m. The energy relative to the lowest polymorph listed for this composition is 0.000 eV/atom. As for the density of states at the Fermi level: 1.176 states/eV per atom. For the electronic total energy, the calculation gives -5.055 eV/atom. The energy of formation comes out at 1.942 eV per formula unit.

Geometry as Quantum ESPRESSO input:
```
&SYSTEM
  ibrav = 0, nat = 5, ntyp = 3
/
ATOMIC_SPECIES
Cu 63.55 Cu.upf
Fe 55.84 Fe.upf
Y 88.91 Y.upf
ATOMIC_POSITIONS crystal
Cu 0.000 0.000 0.500
Cu 0.000 0.500 0.000
Fe 0.000 0.000 0.000
Cu 0.500 0.000 0.000
Y 0.500 0.500 0.500
CELL_PARAMETERS angstrom
-0.086 -2.553 3.693
3.281 -2.556 -1.691
3.064 2.666 1.914
```

***

Here is an optimized crystal structure of ZnCo4Ir from the Alexandria database. Energies are from PBE. Values from VASP.

## Properties
Its size of the total moment is 7.60 μB per formula unit. Its space group is F-43m. As for the density of states at the Fermi level: 1.142 states/eV per atom. For the electronic total energy, the calculation gives -6.325 eV/atom. The energy of formation comes out at 0.610 eV per formula unit.

Geometry as Quantum ESPRESSO input:
```
&SYSTEM
  ibrav = 0, nat = 6, ntyp = 3
/
ATOMIC_SPECIES
Co 58.93 Co.upf
Zn 65.41 Zn.upf
Ir 192.22 Ir.upf
ATOMIC_POSITIONS crystal
Co 0.375 0.375 0.876
Zn 0.000 0.000 0.000
Co 0.375 0.375 0.375
Ir 0.750 0.750 0.750
Co 0.375 0.876 0.375
Co 0.876 0.375 0.375
CELL_PARAMETERS angstrom
0.000 3.328 3.328
3.328 0.000 3.328
3.328 3.328 0.000
```

***

Here is an optimized crystal structure of Ti2VPt8 from the Alexandria database. Energies are from PBE. Values from VASP.

## Properties
Its size of the total moment is 0.00 μB per formula unit. Its space group is C2/m. The energy relative to the lowest polymorph listed for this composition is 0.094 eV/atom. As for the density of states at the Fermi level: 0.509 states/eV per atom. For the electronic total energy, the calculation gives -7.211 eV/atom. The energy of formation comes out at -6.084 eV per formula unit.

Geometry as Quantum ESPRESSO input:
```
&SYSTEM
  ibrav = 0, nat = 11, ntyp = 3
/
ATOMIC_SPECIES
Pt 195.08 Pt.upf
Ti 47.87 Ti.upf
V 50.94 V.upf
ATOMIC_POSITIONS crystal
Pt 0.218 0.312 0.436
Pt 0.387 0.557 0.775
Ti 0.811 0.240 0.622
Pt 0.782 0.688 0.564
Pt 0.613 0.443 0.225
Pt 0.361 0.033 0.722
Pt 0.639 0.967 0.278
V 0.500 0.000 0.000
Pt 0.980 0.251 0.960
Ti 0.189 0.760 0.378
Pt 0.020 0.749 0.040
CELL_PARAMETERS angstrom
-2.105 0.443 -3.298
-2.629 -4.846 1.027
-3.150 6.508 5.235
```

***

Here is an optimized crystal structure of PmNi3 from the Alexandria database. Energies are from PBE. Values from VASP.

## Properties
Its size of the total moment is 0.29 μB per formula unit. Its space group is P6_3/mmc. As for the density of states at the Fermi level: 1.374 states/eV per atom. For the electronic total energy, the calculation gives -5.712 eV/atom. The energy of formation comes out at -0.752 eV per formula unit.

Geometry as Quantum ESPRESSO input:
```
&SYSTEM
  ibrav = 0, nat = 8, ntyp = 2
/
ATOMIC_SPECIES
Ni 58.69 Ni.upf
Pm 145.00 Pm.upf
ATOMIC_POSITIONS crystal
Ni 0.277 0.139 0.750
Ni 0.861 0.723 0.750
Ni 0.723 0.861 0.250
Pm 0.667 0.333 0.250
Ni 0.139 0.861 0.250
Pm 0.333 0.667 0.750
Ni 0.861 0.139 0.750
Ni 0.139 0.277 0.250
CELL_PARAMETERS angstrom
-5.602 1.765 -0.198
1.707 -3.912 4.039
0.893 3.134 2.658
```

***

Here is an optimized crystal structure of Y7Ga2Pd2 from the Alexandria database. Energies are from PBE. Values from VASP.

## Properties
Its size of the total moment is 0.00 μB per formula unit. Its space group is Cmmm. As for the density of states at the Fermi level: 0.988 states/eV per atom. For the electronic total energy, the calculation gives -5.973 eV/atom. The energy of formation comes out at -4.012 eV per formula unit.

Geometry as Quantum ESPRESSO input:
```
&SYSTEM
  ibrav = 0, nat = 11, ntyp = 3
/
ATOMIC_SPECIES
Y 88.91 Y.upf
Ga 69.72 Ga.upf
Pd 106.42 Pd.upf
ATOMIC_POSITIONS crystal
Y 0.000 0.735 0.500
Y 0.500 0.265 0.000
Y 0.500 0.735 0.000
Y 0.500 0.259 0.500
Y 0.500 0.741 0.500
Ga 0.166 0.500 0.166
Ga 0.834 0.500 0.834
Y 0.000 0.000 0.000
Pd 0.293 0.000 0.707
Y 0.000 0.265 0.500
Pd 0.707 0.000 0.293
CELL_PARAMETERS angstrom
-3.774 -5.583 -0.362
5.605 -3.903 1.780
-0.304 2.430 6.288
```

***

Here is an optimized crystal structure of NaZr2TeO8 from the Alexandria database. Energies are from PBE. Values from VASP.

## Properties
Its size of the total moment is 0.81 μB per formula unit. Its space group is Cmmm. As for the density of states at the Fermi level: 0.682 states/eV per atom. For the electronic total energy, the calculation gives -7.207 eV/atom. The formation energy (no corrections) comes out at -2105 meV/atom.

Geometry as Quantum ESPRESSO input:
```
&SYSTEM
  ibrav = 0, nat = 12, ntyp = 4
/
ATOMIC_SPECIES
O 16.00 O.upf
Zr 91.22 Zr.upf
Te 127.60 Te.upf
Na 22.99 Na.upf
ATOMIC_POSITIONS crystal
O 0.196 0.803 0.208
O 0.682 0.683 0.500
O 0.318 0.317 0.500
O 0.804 0.197 0.208
O 0.804 0.197 0.792
Zr 0.500 0.500 0.265
Te 0.000 0.000 0.000
Na 0.000 0.000 0.500
Zr 0.500 0.500 0.735
O 0.717 0.717 0.000
O 0.283 0.283 0.000
O 0.196 0.803 0.792
CELL_PARAMETERS angstrom
4.873 0.049 -0.003
0.085 4.870 -0.005
0.004 0.007 6.693
```

***

Here is an optimized crystal structure of NbCuTe2N from the Alexandria database. Energies are from PBE. Values from VASP.

## Properties
Its size of the total moment is 0.00 μB per formula unit. Its space group is P4/mmm. The energy relative to the lowest polymorph listed for this composition is 0.000 eV/atom. As for the density of states at the Fermi level: 0.669 states/eV per atom. For the electronic total energy, the calculation gives -5.354 eV/atom. The formation energy (no corrections) comes out at 401 meV/atom.

Geometry as Quantum ESPRESSO input:
```
&SYSTEM
  ibrav = 0, nat = 5, ntyp = 4
/
ATOMIC_SPECIES
Cu 63.55 Cu.upf
Te 127.60 Te.upf
N 14.01 N.upf
Nb 92.91 Nb.upf
ATOMIC_POSITIONS crystal
Cu 0.500 0.500 0.500
Te 0.500 0.000 0.000
Te 0.000 0.500 0.000
N 0.000 0.000 0.500
Nb 0.000 0.000 0.000
CELL_PARAMETERS angstrom
5.542 0.000 0.000
0.000 5.542 0.000
0.000 0.000 3.886
```

***

Here is an optimized crystal structure of Pm7Sn2Te2 from the Alexandria database. Energies are from PBE. Values from VASP.

## Properties
Its size of the total moment is 0.00 μB per formula unit. Its space group is Cmmm. As for the density of states at the Fermi level: 1.007 states/eV per atom. For the electronic total energy, the calculation gives -4.856 eV/atom. The formation energy (no corrections) comes out at -534 meV/atom.

Geometry as Quantum ESPRESSO input:
```
&SYSTEM
  ibrav = 0, nat = 11, ntyp = 3
/
ATOMIC_SPECIES
Pm 145.00 Pm.upf
Te 127.60 Te.upf
Sn 118.71 Sn.upf
ATOMIC_POSITIONS crystal
Pm 0.500 0.739 0.500
Pm 0.500 0.261 0.500
Pm 0.000 0.279 0.500
Pm 0.500 0.279 0.000
Pm 0.500 0.721 0.000
Pm 0.000 0.721 0.500
Te 0.277 0.000 0.723
Te 0.723 0.000 0.277
Pm 0.000 0.000 0.000
Sn 0.178 0.500 0.178
Sn 0.822 0.500 0.822
CELL_PARAMETERS angstrom
-3.344 5.289 3.571
-6.225 -1.710 -3.297
-0.715 -5.723 4.317
```

***

Here is an optimized crystal structure of NaNb2TlCd from the Alexandria database. Energies are from PBE. Values from VASP.

## Properties
Its size of the total moment is 5.78 μB per formula unit. Its space group is P4/mmm. As for the density of states at the Fermi level: 1.902 states/eV per atom. For the electronic total energy, the calculation gives -3.318 eV/atom. The energy of formation comes out at 8.150 eV per formula unit.

Geometry as Quantum ESPRESSO input:
```
&SYSTEM
  ibrav = 0, nat = 5, ntyp = 4
/
ATOMIC_SPECIES
Nb 92.91 Nb.upf
Cd 112.41 Cd.upf
Tl 204.38 Tl.upf
Na 22.99 Na.upf
ATOMIC_POSITIONS crystal
Nb 0.000 0.000 0.500
Cd 0.000 0.000 0.000
Nb 0.500 0.000 0.000
Tl 0.000 0.500 0.000
Na 0.500 0.500 0.500
CELL_PARAMETERS angstrom
-0.739 -2.584 -4.639
5.501 0.420 -1.110
0.855 -4.680 2.471
```

***

Please write out number 5 again, unchanged.
Here is an optimized crystal structure of ZnCo4Ir from the Alexandria database. Energies are from PBE. Values from VASP.

## Properties
Its size of the total moment is 7.60 μB per formula unit. Its space group is F-43m. As for the density of states at the Fermi level: 1.142 states/eV per atom. For the electronic total energy, the calculation gives -6.325 eV/atom. The energy of formation comes out at 0.610 eV per formula unit.

Geometry as Quantum ESPRESSO input:
```
&SYSTEM
  ibrav = 0, nat = 6, ntyp = 3
/
ATOMIC_SPECIES
Co 58.93 Co.upf
Zn 65.41 Zn.upf
Ir 192.22 Ir.upf
ATOMIC_POSITIONS crystal
Co 0.375 0.375 0.876
Zn 0.000 0.000 0.000
Co 0.375 0.375 0.375
Ir 0.750 0.750 0.750
Co 0.375 0.876 0.375
Co 0.876 0.375 0.375
CELL_PARAMETERS angstrom
0.000 3.328 3.328
3.328 0.000 3.328
3.328 3.328 0.000
```

***

What did the twelfth record say?
Here is an optimized crystal structure of NaNb2TlCd from the Alexandria database. Energies are from PBE. Values from VASP.

## Properties
Its size of the total moment is 5.78 μB per formula unit. Its space group is P4/mmm. As for the density of states at the Fermi level: 1.902 states/eV per atom. For the electronic total energy, the calculation gives -3.318 eV/atom. The energy of formation comes out at 8.150 eV per formula unit.

Geometry as Quantum ESPRESSO input:
```
&SYSTEM
  ibrav = 0, nat = 5, ntyp = 4
/
ATOMIC_SPECIES
Nb 92.91 Nb.upf
Cd 112.41 Cd.upf
Tl 204.38 Tl.upf
Na 22.99 Na.upf
ATOMIC_POSITIONS crystal
Nb 0.000 0.000 0.500
Cd 0.000 0.000 0.000
Nb 0.500 0.000 0.000
Tl 0.000 0.500 0.000
Na 0.500 0.500 0.500
CELL_PARAMETERS angstrom
-0.739 -2.584 -4.639
5.501 0.420 -1.110
0.855 -4.680 2.471
```